Entry 1:
This record from the Open Quantum Materials Database describes crystalline ZrPPdO at its relaxed geometry. The functional is PBE-GGA.

abc: 3.6152 5.8196 5.6089
angles: 90.00 90.00 90.00
Closest atoms and distances in Å follow each position.
Space group Pmc2_1 (No. 26)
One atom of each set of equivalent atoms:
Zr  0.0000  0.1437  0.0000 (multiplicity 2)  2 O 2.06
P  0.0000  0.3325  0.5606 (multiplicity 2)  4 Pd 2.49, 1 Zr 2.70
Pd  0.5000  0.4764  0.2935 (multiplicity 2)  1 O 2.48, 4 P 2.49
O  0.5000  0.0711  0.1577 (multiplicity 2)  2 Zr 2.06

## Properties
Energy relative to the lowest polymorph listed for this composition in meV/atom: 200
Crystal system: orthorhombic
Final energy in eV per atom: -7.3563
V in Å³/atom: 14.75

Entry 2:
This record from the Open Quantum Materials Database describes crystalline ZrPPdO at its relaxed geometry. The functional is PBE-GGA.

abc: 3.7697 3.7697 7.9439
angles: 90.00 90.00 90.00
Closest atoms and distances in Å follow each position.
Space group P4/nmm (No. 129, origin choice 2)
One atom of each set of equivalent atoms:
Zr  0.2500  0.2500  0.1530 (multiplicity 2)  4 O 2.24
P  0.2500  0.2500  0.6959 (multiplicity 2)  4 Pd 2.44
Pd  0.2500  0.7500  0.5000 (multiplicity 2)  4 P 2.44, 4 Pd 2.67
O  0.2500  0.7500  0.0000 (multiplicity 2)  4 Zr 2.24

## Properties
Energy relative to the lowest polymorph listed for this composition in meV/atom: 0
Crystal system: tetragonal
Final energy in eV per atom: -7.5561
V in Å³/atom: 14.11

Entry 3:
This record from the Open Quantum Materials Database describes crystalline ZrPPdO at its relaxed geometry. The functional is PBE-GGA.

abc: 5.2898 5.2898 4.4610
angles: 90.00 90.00 90.00
Closest atoms and distances in Å follow each position.
Space group P4/nmm (No. 129, origin choice 2)
One atom of each set of equivalent atoms:
Zr  0.2500  0.7500  0.0000 (multiplicity 2)  2 O 2.23
P  0.2500  0.2500  0.0051 (multiplicity 2)  2 Pd 2.23
Pd  0.2500  0.2500  0.5052 (multiplicity 2)  2 P 2.23
O  0.2500  0.7500  0.5000 (multiplicity 2)  2 Zr 2.23

## Properties
Energy relative to the lowest polymorph listed for this composition in meV/atom: 441
Crystal system: tetragonal
Final energy in eV per atom: -7.1146
V in Å³/atom: 15.60

Entry 4:
This record from the Open Quantum Materials Database describes crystalline PmP2O at its relaxed geometry. The functional is PBE-GGA.

abc: 4.3551 4.3551 13.6731
angles: 90.00 90.00 90.00
Closest atoms and distances in Å follow each position.
Space group I4/mmm (No. 139)
One atom of each set of equivalent atoms:
Pm  0.0000  0.0000  0.1743 (multiplicity 4)  4 O 2.41
P  0.0000  0.0000  0.4208 (multiplicity 4)  1 P 2.17
P  0.0000  0.5000  0.0000 (multiplicity 4)  4 P 2.43
O  0.0000  0.5000  0.2500 (multiplicity 4)  4 Pm 2.41

## Properties
Crystal system: tetragonal
Final energy in eV per atom: -6.5307
V in Å³/atom: 16.21

Entry 5:
This record from the Open Quantum Materials Database describes crystalline Pm2PO at its relaxed geometry. The functional is PBE-GGA.

abc: 3.8778 3.8778 5.4688
angles: 90.00 90.00 90.00
Closest atoms and distances in Å follow each position.
Space group P4/mmm (No. 123)
One atom of each set of equivalent atoms:
Pm  0.0000  0.0000  0.0000 (multiplicity 1)  2 P 2.73, 4 O 2.74
Pm  0.5000  0.5000  0.5000 (multiplicity 1)  2 O 2.73, 4 P 2.74
P  0.0000  0.0000  0.5000 (multiplicity 1)  6 Pm 2.73-2.74
O  0.5000  0.5000  0.0000 (multiplicity 1)  6 Pm 2.73-2.74

## Properties
Crystal system: tetragonal
Final energy in eV per atom: -6.9394
V in Å³/atom: 20.56

Entry 6:
This record from the Open Quantum Materials Database describes crystalline PmPPtO at its relaxed geometry. The functional is PBE-GGA.

abc: 4.1676 4.1676 7.8720
angles: 90.00 90.00 90.00
Closest atoms and distances in Å follow each position.
Space group P4/nmm (No. 129, origin choice 2)
One atom of each set of equivalent atoms:
Pm  0.2500  0.2500  0.1380 (multiplicity 2)  4 O 2.35
P  0.2500  0.2500  0.6547 (multiplicity 2)  4 Pt 2.41
Pt  0.2500  0.7500  0.5000 (multiplicity 2)  4 P 2.41
O  0.2500  0.7500  0.0000 (multiplicity 2)  4 Pm 2.35

## Properties
Energy relative to the lowest polymorph listed for this composition in meV/atom: 0
Crystal system: tetragonal
Final energy in eV per atom: -7.1437
V in Å³/atom: 17.09